AsSe2OF: optimized geometry, PBEsol.

Space group: No. 123
Formation energy from raw total energies, eV/atom: 0.278
D(E_F), states/eV/atom: 0.76
Energy relative to the lowest polymorph listed for this composition, eV per atom: 0.000

Cell: 4.378 4.378 4.284 Å, 90.00 90.00 90.00°
Atoms (fractional coordinates):
As  0.000  0.000  0.500
O  0.000  0.000  0.000
Se  0.000  0.500  0.000
Se  0.500  0.000  0.000
F  0.500  0.500  0.500